A plane-wave DFT calculation with PBE-GGA was carried out for a relaxed structure of Pm5DyIn6.

Lattice parameters (Å, degrees): 5.0855 9.1279 9.1279 113.11 106.17 106.17
With the nearest neighbours (Å) after each atom.
Atoms (fractional coordinates):
1 Dy 0.0000 0.0000 0.0000  8 In 3.31-3.32, 4 Pm 3.61
2 In 0.2479 0.0832 0.4130  1 Dy 3.31, 7 Pm 3.33-3.36, 4 In 3.57-3.63
3 In 0.7521 0.5870 0.9168  1 Dy 3.31, 7 Pm 3.33-3.36, 4 In 3.57-3.63
4 In 0.7463 0.2462 0.2462  2 Dy 3.32, 6 Pm 3.33-3.37, 4 In 3.57-3.58
5 In 0.2537 0.7538 0.7538  2 Dy 3.32, 6 Pm 3.33-3.37, 4 In 3.57-3.58
6 In 0.2479 0.4130 0.0832  1 Dy 3.31, 7 Pm 3.33-3.36, 4 In 3.57-3.63
7 In 0.7521 0.9168 0.5870  1 Dy 3.31, 7 Pm 3.33-3.36, 4 In 3.57-3.63
8 Pm 0.5000 0.1678 0.8322  8 In 3.33-3.36, 2 Pm 3.59, 2 Dy 3.61
9 Pm 0.0000 0.3342 0.6658  8 In 3.35-3.36, 4 Pm 3.58-3.59
10 Pm 0.5000 0.5000 0.5000  8 In 3.33-3.37, 4 Pm 3.58
11 Pm 0.0000 0.6658 0.3342  8 In 3.35-3.36, 4 Pm 3.58-3.59
12 Pm 0.5000 0.8322 0.1678  8 In 3.33-3.36, 2 Pm 3.59, 2 Dy 3.61

## Properties
For the total energy, the calculation gives -0.3102 Ry/atom. For the magnetic moment, the calculation gives 0.000 μB/f.u. The crystal system is orthorhombic. As for the calculated volume: 336.3 Å³/cell.